## Ca2CdRe (PBE)

Data for crystalline Ca2CdRe at its relaxed geometry.

Summary:
For the formation energy, the calculation gives 0.5992 eV/atom. The total energy is -14.97 eV/cell. Its size of the total moment is 0.01 μB per formula unit.

Structure (POSCAR):
```
Ca2CdRe
1.0
5.519 0.001 0.000
1.814 5.212 0.000
-3.666 -2.606 3.197
Cd Ca Re
1 2 1
direct
0.500 0.500 0.000
0.250 0.750 0.500
0.000 0.000 0.000
0.750 0.250 0.500
```